Record 1
{
  "formula": "LiDy2ScTe4",
  "functional": "PBE",
  "state": "optimized geometry",
  "cell": [[7.377, 0.000, 0.000], [0.000, 4.259, 0.000], [-2.446, 0.000, 7.015]],
  "species": ["Li", "Dy", "Dy", "Sc", "Te", "Te", "Te", "Te"],
  "fractional_positions": [[0.000, 0.000, 0.000], [0.500, 0.000, 0.500], [0.500, 0.500, 0.000], [0.000, 0.500, 0.500], [0.234, 0.000, 0.747], [0.235, 0.500, 0.244], [0.765, 0.500, 0.756], [0.766, 0.000, 0.253]],
  "e_tot_ev_per_atom": -5.010,
  "sg": "P2/m (10)",
  "formation_energy_uncorrected_kj_per_mol_fu": -971
}

Record 2
{
  "formula": "Ba4NdTl5",
  "functional": "PBE",
  "state": "optimized geometry",
  "cell": [[4.169, 0.000, 0.000], [0.000, 4.169, 0.000], [0.000, 0.000, 21.540]],
  "species": ["Ba", "Ba", "Ba", "Ba", "Nd", "Tl", "Tl", "Tl", "Tl", "Tl"],
  "fractional_positions": [[0.000, 0.000, 0.103], [0.000, 0.000, 0.310], [0.000, 0.000, 0.690], [0.000, 0.000, 0.897], [0.000, 0.000, 0.500], [0.500, 0.500, 0.000], [0.500, 0.500, 0.204], [0.500, 0.500, 0.419], [0.500, 0.500, 0.581], [0.500, 0.500, 0.796]],
  "e_tot_ev_per_atom": -2.816,
  "formation_energy_mev_per_atom": -387,
  "sg": "P4/mmm (123)"
}

Record 3
{
  "formula": "GaIrSe2N",
  "functional": "PBE",
  "state": "optimized geometry",
  "cell": [[5.214, 0.000, 0.000], [0.000, 5.214, 0.000], [0.000, 0.000, 3.653]],
  "species": ["Ga", "Ir", "Se", "Se", "N"],
  "fractional_positions": [[0.000, 0.000, 0.000], [0.500, 0.500, 0.500], [0.000, 0.500, 0.500], [0.500, 0.000, 0.500], [0.500, 0.500, 0.000]],
  "e_tot_ev_per_atom": -5.148,
  "sg": "P4/mmm (123)",
  "formation_energy_uncorrected_kj_per_mol_fu": 139
}

Record 4
{
  "formula": "La2ReW",
  "functional": "PBE",
  "state": "optimized geometry",
  "cell": [[17.386, 0.000, 0.000], [0.000, 3.329, 0.000], [-0.921, 0.000, 3.957]],
  "species": ["La", "La", "La", "La", "Re", "Re", "W", "W"],
  "fractional_positions": [[0.148, 0.000, 0.153], [0.352, 0.500, 0.847], [0.648, 0.500, 0.153], [0.852, 0.000, 0.847], [0.000, 0.500, 0.000], [0.500, 0.000, 0.000], [0.000, 0.000, 0.500], [0.500, 0.500, 0.500]],
  "e_tot_ev_per_atom": -8.347,
  "formation_energy_mev_per_atom": 467,
  "sg": "C2/m (12)"
}

Record 5
{
  "formula": "CuAgRh",
  "functional": "PBE",
  "state": "optimized geometry",
  "cell": [[2.802, 0.000, 0.000], [0.000, 3.656, 0.000], [0.000, 0.000, 8.726]],
  "species": ["Cu", "Cu", "Ag", "Ag", "Rh", "Rh"],
  "fractional_positions": [[0.250, 0.250, 0.232], [0.750, 0.750, 0.768], [0.250, 0.250, 0.600], [0.750, 0.750, 0.400], [0.250, 0.250, 0.928], [0.750, 0.750, 0.072]],
  "e_tot_ev_per_atom": -4.667,
  "formation_energy_mev_per_atom": 99,
  "sg": "Pmmn (59)"
}

Record 6
{
  "formula": "U2TcNi",
  "functional": "PBE",
  "state": "optimized geometry",
  "cell": [[4.137, 0.000, 0.000], [0.000, 4.137, 0.000], [0.000, 0.000, 4.065]],
  "species": ["U", "U", "Tc", "Ni"],
  "fractional_positions": [[0.000, 0.500, 0.000], [0.500, 0.000, 0.000], [0.000, 0.000, 0.500], [0.500, 0.500, 0.500]],
  "e_tot_ev_per_atom": -9.627,
  "formation_energy_mev_per_atom": 54,
  "sg": "P4/mmm (123)"
}

no.,N(E_F) (states/eV/f.u.),M_tot (μB/atom)
1,3.5,0.0001
2,8.4,0.0000
3,2.5,0.0000
4,5.3,0.0000
5,2.3,0.0001
6,7.7,0.3335